(a)
Below is HgBiPd after structural relaxation, with properties calculated at the PBE-GGA level.

The calculation puts the spin magnetization at 0.00 μB per formula unit. The calculation puts the density of states at the Fermi level at 2.19 states/eV/f.u. The calculation puts the calculated density at 11.64 g cm⁻³.

Unit cell a=4.704 b=4.704 c=4.704 alpha=60.00 beta=60.00 gamma=60.00
Fractional coordinates of all 3 atoms:
Hg 0.500 0.500 0.500
Bi 0.000 0.000 0.000
Pd 0.250 0.250 0.250

(b)
Below is HgBiPd after structural relaxation, with properties calculated at the PBE-GGA level.

The calculation puts the spin magnetization at 0.00 μB per formula unit. The calculation puts the density of states at the Fermi level at 1.29 states/eV/f.u. The calculation puts the calculated density at 11.88 g cm⁻³.

Unit cell a=3.320 b=7.105 c=12.235 alpha=90.00 beta=90.00 gamma=90.00
Fractional coordinates of all 12 atoms:
Bi 0.250 0.993 0.304
Bi 0.750 0.007 0.696
Bi 0.250 0.493 0.196
Bi 0.750 0.507 0.804
Hg 0.750 0.792 0.048
Hg 0.250 0.208 0.952
Hg 0.750 0.292 0.452
Hg 0.250 0.708 0.548
Pd 0.250 0.334 0.640
Pd 0.750 0.166 0.140
Pd 0.750 0.666 0.360
Pd 0.250 0.834 0.860

Most stable: (a) (next structure +70 meV/atom)